Mo2Br (PBEsol, optimized geometry); formation energy (no corrections) = 1.47 eV per atom; symmetry = Fm-3m (225); final energy = -7.00 eV per atom; magnetization = 0.00 μB per formula unit; DOS at the Fermi energy = 1.419 states/eV per atom; energy relative to the lowest polymorph listed for this composition = 656 meV per atom
1.0
4.154 0.000 0.000
2.077 3.597 0.000
2.077 1.199 3.392
Mo Br
2 1
Direct
0.750 0.750 0.750
0.250 0.250 0.250
0.000 0.000 0.000